1.
The following is a DFT calculation (PBE) of an optimized crystal structure of K2NiBr4.

Results
As for the total energy: -3.1879 eV per atom.

a b c (Å): 5.1482 5.1482 16.0851
angles (deg): 90.00 90.00 90.00
Space group I4/mmm (No. 139)
One atom of each set of equivalent atoms:
1 K 0.0000 0.0000 0.1375 [4 per cell]
2 Ni 0.0000 0.0000 0.5000 [2 per cell]
3 Br 0.0000 0.0000 0.3468 [4 per cell]
4 Br 0.0000 0.5000 0.0000 [4 per cell]


2.
The following is a DFT calculation (PBE) of an optimized crystal structure of KNi2Br.

Results
The value obtained for the excess energy over the best structure of this formula in the dataset is 0.457 eV per atom.

a b c (Å): 4.0061 4.0061 6.0102
angles (deg): 90.00 90.00 90.00
Space group P4/mmm (No. 123)
One atom of each set of equivalent atoms:
1 K 0.0000 0.0000 0.0000 [1 per cell]
2 Ni 0.0000 0.5000 0.5000 [2 per cell]
3 Br 0.5000 0.5000 0.0000 [1 per cell]


3.
The following is a DFT calculation (PBE) of an optimized crystal structure of KNiBr.

Results
The value obtained for the excess energy over the best structure of this formula in the dataset is 0.000 eV per atom.

a b c (Å): 5.0048 14.2420 5.0428
angles (deg): 90.00 90.00 90.00
Space group Cmcm (No. 63)
One atom of each set of equivalent atoms:
1 K 0.0000 0.1241 0.2500 [4 per cell]
2 Ni 0.0000 0.5000 0.0000 [4 per cell]
3 Br 0.0000 0.3656 0.2500 [4 per cell]


4.
The following is a DFT calculation (PBE) of an optimized crystal structure of K4NiBr.

Results
As for the total energy: -1.6753 eV per atom.

a b c (Å): 10.4129 10.4129 10.4129
angles (deg): 90.00 90.00 90.00
Space group F-43m (No. 216)
One atom of each set of equivalent atoms:
1 K 0.1249 0.1249 0.1249 [16 per cell]
2 Ni 0.2500 0.2500 0.7500 [4 per cell]
3 Br 0.0000 0.0000 0.5000 [4 per cell]


no.,spin magnetization (Bohr magnetons per cell)
1,0.00
2,1.90
3,0.00
4,4.06